<w>
A geometry-optimized NaCd4Pd structure, computed with GGA-PBE.

The structure in POSCAR format:
```
NaCd4Pd
1.0
-3.540 4.400 -0.670
-2.498 0.899 -5.029
-5.581 -0.908 -0.606
Cd Pd Na
4 1 1
Direct
0.626 0.626 0.626 Cd
0.123 0.626 0.626 Cd
0.626 0.626 0.123 Cd
0.626 0.123 0.626 Cd
0.000 0.000 0.000 Pd
0.250 0.250 0.250 Na
```

Summary:
Its space group is No. 216. Its density of states at the Fermi level is 0.245 states/eV per atom. For the calculated volume, the calculation gives 21.67 Å³/atom.

---

<x>
A geometry-optimized NaCd4Pd structure, computed with GGA-PBE.

The structure in POSCAR format:
```
NaCd4Pd
1.0
-2.443 0.231 3.199
5.223 -3.233 4.223
3.460 8.260 2.045
Cd Na Pd
8 2 2
Direct
0.500 0.931 0.750 Cd
0.000 0.000 0.500 Cd
0.500 0.684 0.054 Cd
0.500 0.069 0.250 Cd
0.500 0.684 0.446 Cd
0.000 0.000 0.000 Cd
0.500 0.316 0.554 Cd
0.500 0.316 0.946 Cd
0.000 0.596 0.750 Na
0.000 0.404 0.250 Na
0.000 0.800 0.250 Pd
0.000 0.200 0.750 Pd
```

Summary:
Its space group is No. 51. Its density of states at the Fermi level is 0.453 states/eV per atom. For the calculated volume, the calculation gives 23.01 Å³/atom.

---

<x> (13.0 kJ/mol of atoms below the next structure)

---

<w>
A geometry-optimized Na2CdPd3 structure, computed with GGA-PBE.

The structure in POSCAR format:
```
Na2CdPd3
1.0
-3.314 -2.123 -2.968
3.423 -4.221 -0.802
-1.774 1.136 5.261
Pd Cd Na
3 1 2
Direct
0.662 0.662 0.324 Pd
0.000 0.000 0.000 Pd
0.338 0.338 0.676 Pd
0.000 0.500 0.000 Cd
0.662 0.162 0.325 Na
0.338 0.838 0.675 Na
```

Summary:
Its space group is No. 71. Its density of states at the Fermi level is 0.358 states/eV per atom. For the calculated volume, the calculation gives 19.41 Å³/atom.

---

<x>
A geometry-optimized Na2CdPd3 structure, computed with GGA-PBE.

The structure in POSCAR format:
```
Na2CdPd3
1.0
4.871 -0.140 -2.571
-3.090 4.556 -0.233
-0.232 0.126 5.496
Pd Na Cd
3 2 1
Direct
0.500 0.500 0.500 Pd
0.000 0.000 0.500 Pd
0.500 0.000 0.500 Pd
0.761 0.381 0.141 Na
0.239 0.619 0.859 Na
0.000 0.000 0.000 Cd
```

Summary:
Its space group is No. 12. Its density of states at the Fermi level is 0.487 states/eV per atom. For the calculated volume, the calculation gives 19.67 Å³/atom.

---

<x> (29.4 kJ/mol of atoms below the next structure)

---

<w>
A geometry-optimized NaTl2CdPd structure, computed with GGA-PBE.

The structure in POSCAR format:
```
NaTl2CdPd
1.0
5.336 0.000 0.000
0.000 5.336 0.000
0.000 0.000 5.302
Tl Pd Cd Na
2 1 1 1
Direct
0.000 0.500 0.000 Tl
0.500 0.000 0.000 Tl
0.000 0.000 0.000 Pd
0.000 0.000 0.500 Cd
0.500 0.500 0.500 Na
```

Summary:
Its space group is No. 123. Its density of states at the Fermi level is 0.631 states/eV per atom. For the calculated volume, the calculation gives 30.20 Å³/atom.

---

<x>
A geometry-optimized NaTl2CdPd structure, computed with GGA-PBE.

The structure in POSCAR format:
```
NaTl2CdPd
1.0
-3.112 -0.718 4.245
-3.429 -2.754 -2.980
2.669 -4.598 1.179
Na Tl Pd Cd
1 2 1 1
Direct
0.000 0.000 0.500 Na
0.500 0.000 0.000 Tl
0.000 0.500 0.000 Tl
0.000 0.000 0.000 Pd
0.500 0.500 0.500 Cd
```

Summary:
Its space group is No. 123. Its density of states at the Fermi level is 0.421 states/eV per atom. For the calculated volume, the calculation gives 30.73 Å³/atom.

---

<w> (4.5 kJ/mol of atoms below the next structure)

---

<w>
A geometry-optimized NaPmCd4 structure, computed with GGA-PBE.

The structure in POSCAR format:
```
NaPmCd4
1.0
-2.270 4.502 -3.199
-3.954 -1.114 -4.333
-5.717 1.574 0.699
Cd Pm Na
4 1 1
Direct
0.625 0.125 0.625 Cd
0.625 0.625 0.125 Cd
0.625 0.625 0.625 Cd
0.125 0.625 0.625 Cd
0.000 0.000 0.000 Pm
0.250 0.250 0.250 Na
```

Summary:
Its space group is No. 216. Its density of states at the Fermi level is 0.829 states/eV per atom. For the calculated volume, the calculation gives 25.09 Å³/atom.

---

<x>
A geometry-optimized NaPmCd4 structure, computed with GGA-PBE.

The structure in POSCAR format:
```
NaPmCd4
1.0
-1.491 2.948 -0.280
-4.069 -2.252 -2.050
-3.531 -1.007 8.117
Pm Cd Na
1 4 1
Direct
0.500 0.000 0.000 Pm
0.001 0.500 0.831 Cd
0.999 0.000 0.338 Cd
0.001 0.000 0.662 Cd
0.999 0.500 0.169 Cd
0.500 0.500 0.500 Na
```

Summary:
Its space group is No. 47. Its density of states at the Fermi level is 0.620 states/eV per atom. For the calculated volume, the calculation gives 25.01 Å³/atom.

---

<y>
A geometry-optimized NaPmCd4 structure, computed with GGA-PBE.

The structure in POSCAR format:
```
NaPmCd4
1.0
6.040 0.019 0.973
0.087 6.062 0.824
1.374 1.468 4.653
Cd Na Pm
4 1 1
Direct
0.556 0.890 0.274 Cd
0.920 0.578 0.249 Cd
0.420 0.078 0.748 Cd
0.109 0.443 0.722 Cd
0.990 0.009 0.498 Na
0.512 0.486 0.998 Pm
```

Summary:
Its space group is No. 5. Its density of states at the Fermi level is 0.659 states/eV per atom. For the calculated volume, the calculation gives 25.85 Å³/atom.

---

<x> (1.6 kJ/mol of atoms below the next structure)

---

<w>
A geometry-optimized Na2Pm2Cd15 structure, computed with GGA-PBE.

The structure in POSCAR format:
```
Na2Pm2Cd15
1.0
-1.554 -7.515 -2.128
-1.005 -3.202 7.221
-7.952 0.170 0.388
Cd Pm Na
15 2 2
Direct
0.147 0.638 0.638 Cd
0.000 0.699 0.301 Cd
0.638 0.638 0.147 Cd
0.500 0.000 0.000 Cd
0.000 0.500 0.000 Cd
0.000 0.301 0.699 Cd
0.853 0.362 0.362 Cd
0.638 0.147 0.638 Cd
0.699 0.000 0.301 Cd
0.699 0.301 0.000 Cd
0.362 0.362 0.853 Cd
0.301 0.699 0.000 Cd
0.000 0.000 0.500 Cd
0.301 0.000 0.699 Cd
0.362 0.853 0.362 Cd
0.092 0.092 0.092 Pm
0.908 0.908 0.908 Pm
0.652 0.652 0.652 Na
0.348 0.348 0.348 Na
```

Summary:
Its space group is No. 166. Its density of states at the Fermi level is 0.397 states/eV per atom. For the calculated volume, the calculation gives 25.63 Å³/atom.

---

<x>
A geometry-optimized Na2Pm2Cd15 structure, computed with GGA-PBE.

The structure in POSCAR format:
```
Na2Pm2Cd15
1.0
7.647 -0.034 0.962
0.845 7.600 0.962
-0.038 -0.034 7.707
Cd Na Pm
15 2 2
Direct
0.645 0.164 0.645 Cd
0.645 0.645 0.164 Cd
0.355 0.355 0.836 Cd
0.164 0.645 0.645 Cd
0.500 0.000 0.000 Cd
0.000 0.694 0.306 Cd
0.000 0.500 0.000 Cd
0.306 0.000 0.694 Cd
0.694 0.306 0.000 Cd
0.000 0.000 0.500 Cd
0.306 0.694 0.000 Cd
0.355 0.836 0.355 Cd
0.694 0.000 0.306 Cd
0.836 0.355 0.355 Cd
0.000 0.306 0.694 Cd
0.900 0.900 0.900 Na
0.100 0.100 0.100 Na
0.344 0.344 0.344 Pm
0.656 0.656 0.656 Pm
```

Summary:
Its space group is No. 166. Its density of states at the Fermi level is 0.342 states/eV per atom. For the calculated volume, the calculation gives 23.61 Å³/atom.

---

<x> (7.5 kJ/mol of atoms below the next structure)

---

<w>
A geometry-optimized NaPm2Cd6 structure, computed with GGA-PBE.

The structure in POSCAR format:
```
NaPm2Cd6
1.0
-2.298 -2.359 0.844
6.426 -5.968 0.823
4.001 -1.121 7.766
Na Cd Pm
1 6 2
Direct
0.000 0.000 0.000 Na
0.500 0.331 0.669 Cd
0.501 0.000 0.331 Cd
0.501 0.331 0.000 Cd
0.499 0.669 0.000 Cd
0.499 0.000 0.669 Cd
0.500 0.669 0.331 Cd
0.000 0.333 0.333 Pm
0.000 0.667 0.667 Pm
```

Summary:
Its space group is No. 191. Its density of states at the Fermi level is 0.641 states/eV per atom. For the calculated volume, the calculation gives 25.38 Å³/atom.

---

<x>
A geometry-optimized NaPm2Cd6 structure, computed with GGA-PBE.

The structure in POSCAR format:
```
NaPm2Cd6
1.0
-5.594 1.598 2.924
-3.208 -1.365 -5.369
-2.221 -5.922 -0.989
Cd Na Pm
6 1 2
Direct
0.331 0.822 0.822 Cd
0.669 0.178 0.178 Cd
0.330 0.822 0.356 Cd
0.670 0.178 0.644 Cd
0.670 0.644 0.178 Cd
0.330 0.356 0.822 Cd
0.000 0.000 0.000 Na
0.864 0.667 0.667 Pm
0.136 0.333 0.333 Pm
```

Summary:
Its space group is No. 12. Its density of states at the Fermi level is 0.892 states/eV per atom. For the calculated volume, the calculation gives 25.67 Å³/atom.

---

<w> (10.5 kJ/mol of atoms below the next structure)

---

<w>
A geometry-optimized NaPrCd4 structure, computed with GGA-PBE.

The structure in POSCAR format:
```
NaPrCd4
1.0
-1.564 -4.377 -1.980
2.574 0.029 4.349
-5.970 0.451 3.673
Cd Pr Na
4 1 1
Direct
0.672 0.836 0.250 Cd
0.669 0.830 0.746 Cd
0.336 0.163 0.746 Cd
0.339 0.169 0.250 Cd
0.004 0.499 0.498 Pr
0.004 0.500 0.998 Na
```

Summary:
Its space group is No. 2. Its density of states at the Fermi level is 0.671 states/eV per atom. For the calculated volume, the calculation gives 25.88 Å³/atom.

---

<x>
A geometry-optimized NaPrCd4 structure, computed with GGA-PBE.

The structure in POSCAR format:
```
NaPrCd4
1.0
-5.584 -0.521 2.137
-4.087 -3.185 -3.028
-1.906 -5.263 2.163
Cd Na Pr
4 1 1
Direct
0.125 0.625 0.625 Cd
0.625 0.625 0.625 Cd
0.625 0.125 0.625 Cd
0.625 0.625 0.125 Cd
0.250 0.250 0.250 Na
0.000 0.000 0.000 Pr
```

Summary:
Its space group is No. 216. Its density of states at the Fermi level is 0.939 states/eV per atom. For the calculated volume, the calculation gives 25.47 Å³/atom.

---

<w> (3.7 kJ/mol of atoms below the next structure)

---

<w>
A geometry-optimized NaPrCd2 structure, computed with GGA-PBE.

The structure in POSCAR format:
```
NaPrCd2
1.0
-1.909 -4.996 0.081
1.726 -3.463 3.694
-3.264 -1.552 3.943
Cd Pr Na
2 1 1
Direct
0.250 0.250 0.250 Cd
0.750 0.750 0.750 Cd
0.000 0.000 0.000 Pr
0.500 0.500 0.500 Na
```

Summary:
Its space group is No. 225. Its density of states at the Fermi level is 0.756 states/eV per atom. For the calculated volume, the calculation gives 27.06 Å³/atom.

---

<x>
A geometry-optimized NaPrCd2 structure, computed with GGA-PBE.

The structure in POSCAR format:
```
NaPrCd2
1.0
-3.323 0.136 -1.546
-0.884 -5.287 1.437
-2.175 1.674 4.823
Cd Pr Na
2 1 1
Direct
0.000 0.000 0.500 Cd
0.000 0.500 0.000 Cd
0.500 0.500 0.500 Pr
0.500 0.000 0.000 Na
```

Summary:
Its space group is No. 123. Its density of states at the Fermi level is 0.919 states/eV per atom. For the calculated volume, the calculation gives 28.23 Å³/atom.

---

<w> (2.2 kJ/mol of atoms below the next structure)

---

<w>
A geometry-optimized NaPrCd structure, computed with GGA-PBE.

The structure in POSCAR format:
```
NaPrCd
1.0
3.375 0.000 0.000
0.000 5.409 0.000
0.000 -2.704 4.684
Pr Cd Na
1 1 1
Direct
0.334 0.333 0.667 Pr
0.835 0.667 0.333 Cd
0.831 0.000 0.000 Na
```

Summary:
Its space group is No. 156. Its density of states at the Fermi level is 0.852 states/eV per atom. For the calculated volume, the calculation gives 28.50 Å³/atom.

---

<x>
A geometry-optimized NaPrCd structure, computed with GGA-PBE.

The structure in POSCAR format:
```
NaPrCd
1.0
3.732 0.000 0.000
0.000 5.532 0.000
-1.866 0.000 8.759
Cd Na Pr
2 2 2
Direct
0.097 0.250 0.194 Cd
0.903 0.750 0.806 Cd
0.745 0.250 0.490 Na
0.255 0.750 0.510 Na
0.566 0.750 0.131 Pr
0.434 0.250 0.869 Pr
```

Summary:
Its space group is No. 63. Its density of states at the Fermi level is 0.744 states/eV per atom. For the calculated volume, the calculation gives 30.14 Å³/atom.

---

<x> (5.1 kJ/mol of atoms below the next structure)

---

<w>
A geometry-optimized NaCdPt structure, computed with GGA-PBE.

The structure in POSCAR format:
```
NaCdPt
1.0
-1.657 3.718 2.079
-4.980 -3.348 2.018
1.924 -2.268 5.589
Cd Pt Na
2 2 2
Direct
0.000 0.000 0.000 Cd
0.500 0.500 0.500 Cd
0.500 0.172 0.828 Pt
0.500 0.828 0.172 Pt
0.000 0.705 0.705 Na
0.000 0.295 0.295 Na
```

Summary:
Its space group is No. 65. Its density of states at the Fermi level is 0.411 states/eV per atom. For the calculated volume, the calculation gives 29.70 Å³/atom.

---

<x>
A geometry-optimized NaCdPt structure, computed with GGA-PBE.

The structure in POSCAR format:
```
NaCdPt
1.0
2.893 0.000 0.000
0.000 4.782 0.000
0.000 -2.391 4.142
Cd Na Pt
1 1 1
Direct
0.281 0.667 0.333 Cd
0.665 0.333 0.667 Na
0.054 0.000 0.000 Pt
```

Summary:
Its space group is No. 156. Its density of states at the Fermi level is 0.329 states/eV per atom. For the calculated volume, the calculation gives 19.10 Å³/atom.

---

<x> (33.2 kJ/mol of atoms below the next structure)

---

<w>
A geometry-optimized NaCdPt structure, computed with GGA-PBE.

The structure in POSCAR format:
```
NaCdPt
1.0
4.305 0.016 -0.005
-0.019 6.056 0.193
-2.147 -1.516 4.386
Pt Na Cd
2 2 2
Direct
0.927 0.277 0.621 Pt
0.951 0.827 0.668 Pt
0.281 0.477 0.328 Na
0.597 0.626 0.961 Na
0.602 0.136 0.970 Cd
0.275 0.968 0.319 Cd
```

Summary:
Its space group is No. 12. Its density of states at the Fermi level is 0.317 states/eV per atom. For the calculated volume, the calculation gives 19.25 Å³/atom.

---

<x>
A geometry-optimized NaCdPt structure, computed with GGA-PBE.

The structure in POSCAR format:
```
NaCdPt
1.0
-2.827 2.061 -3.027
-4.304 1.138 1.258
-1.147 4.446 0.562
Na Pt Cd
1 1 1
Direct
0.500 0.500 0.500 Na
0.250 0.250 0.250 Pt
0.000 0.000 0.000 Cd
```

Summary:
Its space group is No. 216. Its density of states at the Fermi level is 0.683 states/eV per atom. For the calculated volume, the calculation gives 23.33 Å³/atom.

---

<w> (9.7 kJ/mol of atoms below the next structure)

---

<w>
A geometry-optimized NaCd3Pt structure, computed with GGA-PBE.

The structure in POSCAR format:
```
NaCd3Pt
1.0
-2.057 -0.493 4.808
-0.684 -5.143 -0.819
4.784 -0.947 1.950
Pt Na Cd
1 1 3
Direct
0.000 0.000 0.000 Pt
0.500 0.500 0.500 Na
0.000 0.000 0.500 Cd
0.500 0.000 0.000 Cd
0.000 0.500 0.000 Cd
```

Summary:
Its space group is No. 221. Its density of states at the Fermi level is 0.441 states/eV per atom. For the calculated volume, the calculation gives 28.98 Å³/atom.

---

<x>
A geometry-optimized NaCd3Pt structure, computed with GGA-PBE.

The structure in POSCAR format:
```
NaCd3Pt
1.0
5.081 0.000 0.000
0.000 5.081 0.000
0.000 0.000 5.081
Cd Pt Na
3 1 1
Direct
0.500 0.000 0.000 Cd
0.000 0.500 0.000 Cd
0.000 0.000 0.500 Cd
0.500 0.500 0.500 Pt
0.000 0.000 0.000 Na
```

Summary:
Its space group is No. 221. Its density of states at the Fermi level is 0.727 states/eV per atom. For the calculated volume, the calculation gives 26.23 Å³/atom.

---

<y>
A geometry-optimized NaCd3Pt structure, computed with GGA-PBE.

The structure in POSCAR format:
```
NaCd3Pt
1.0
6.235 0.000 0.000
0.000 4.489 0.000
0.000 0.000 4.489
Cd Pt Na
3 1 1
Direct
0.917 0.000 0.500 Cd
0.593 0.000 0.000 Cd
0.917 0.500 0.000 Cd
0.168 0.000 0.000 Pt
0.349 0.500 0.500 Na
```

Summary:
Its space group is No. 99. Its density of states at the Fermi level is 0.363 states/eV per atom. For the calculated volume, the calculation gives 25.13 Å³/atom.

---

<w> (2.5 kJ/mol of atoms below the next structure)